i | DFT (GGA-PBE) results for a relaxed InCuTe3 crystal.

M_tot	0.000	μB per cell

a = 4.125 Å, b = 8.275 Å, c = 9.820 Å
α = 95.69°, β = 90.00°, γ = 104.43°
Element x y z (fractional)
In: 0.055 0.110 0.298
Te: 0.362 0.723 0.551
Te: 0.123 0.247 0.740
Cu: 0.642 0.283 0.910
Te: 0.158 0.316 0.073
In: 0.945 0.890 0.702
Cu: 0.358 0.717 0.090
Te: 0.842 0.684 0.927
Te: 0.638 0.277 0.449
Te: 0.877 0.753 0.260

ii | DFT (GGA-PBE) results for a relaxed InCuTe3 crystal.

M_tot	0.000	μB per cell

a = 5.229 Å, b = 5.229 Å, c = 5.229 Å
α = 90.00°, β = 90.00°, γ = 90.00°
Element x y z (fractional)
Te: 0.500 0.000 0.000
Te: 0.000 0.000 0.500
Cu: 0.000 0.000 0.000
Te: 0.000 0.500 0.000
In: 0.500 0.500 0.500

It is i that is the most stable of them.

i | DFT (GGA-PBE) results for a relaxed Ti3InCu crystal.

M_tot	0.000	μB per cell

a = 4.626 Å, b = 4.626 Å, c = 4.626 Å
α = 90.00°, β = 90.00°, γ = 90.00°
Element x y z (fractional)
Ti: 0.000 0.500 0.000
Ti: 0.000 0.000 0.500
Ti: 0.500 0.000 0.000
Cu: 0.000 0.000 0.000
In: 0.500 0.500 0.500

ii | DFT (GGA-PBE) results for a relaxed Ti3InCu crystal.

M_tot	0.000	μB per cell

a = 4.246 Å, b = 5.841 Å, c = 7.216 Å
α = 88.46°, β = 107.11°, γ = 90.00°
Element x y z (fractional)
Ti: 0.600 0.512 0.200
Ti: 0.995 0.732 0.990
Ti: 0.400 0.488 0.800
In: 0.618 0.001 0.236
Cu: 0.802 0.758 0.605
Ti: 0.005 0.268 0.010
In: 0.382 0.999 0.764
Cu: 0.198 0.242 0.395
Ti: 0.800 0.289 0.599
Ti: 0.200 0.711 0.401

iii | DFT (GGA-PBE) results for a relaxed Ti3InCu crystal.

M_tot	1.103	μB per cell

a = 3.942 Å, b = 5.248 Å, c = 9.282 Å
α = 79.21°, β = 90.00°, γ = 112.06°
Site moments in Bohr magnetons follow the coordinates.
Element x y z (fractional)
Ti: 0.856 0.712 0.441  0.03
Ti: 0.039 0.078 0.128  0.46
Ti: 0.961 0.922 0.872  0.46
Ti: 0.144 0.288 0.559  0.03
In: 0.584 0.167 0.344  0.00
Ti: 0.312 0.624 0.222  -0.04
Cu: 0.736 0.472 0.075  0.01
Ti: 0.688 0.376 0.778  -0.04
In: 0.416 0.833 0.656  0.00
Cu: 0.264 0.528 0.925  0.01

iv | DFT (GGA-PBE) results for a relaxed Ti3InCu crystal.

M_tot	4.294	μB per cell

a = 5.050 Å, b = 5.050 Å, c = 5.050 Å
α = 90.00°, β = 90.00°, γ = 90.00°
Site moments in Bohr magnetons follow the coordinates.
Element x y z (fractional)
Ti: 0.500 0.000 0.000  1.18
Ti: 0.000 0.500 0.000  0.96
Ti: 0.000 0.000 0.500  0.97
In: 0.000 0.000 0.000  -0.02
Cu: 0.500 0.500 0.500  0.01

It is ii that is the most stable of them.

i | DFT (GGA-PBE) results for a relaxed TiIn3Cu crystal.

M_tot	0.001	μB per cell

a = 4.935 Å, b = 4.935 Å, c = 4.935 Å
α = 90.00°, β = 90.00°, γ = 90.00°
Element x y z (fractional)
Ti: 0.500 0.500 0.500
In: 0.000 0.000 0.500
In: 0.500 0.000 0.000
In: 0.000 0.500 0.000
Cu: 0.000 0.000 0.000

ii | DFT (GGA-PBE) results for a relaxed TiIn3Cu crystal.

M_tot	0.797	μB per cell

a = 5.348 Å, b = 5.348 Å, c = 5.348 Å
α = 90.00°, β = 90.00°, γ = 90.00°
Site moments in Bohr magnetons follow the coordinates.
Element x y z (fractional)
In: 0.500 0.000 0.000  0.03
Cu: 0.500 0.500 0.500  0.00
Ti: 0.000 0.000 0.000  0.56
In: 0.000 0.000 0.500  0.02
In: 0.000 0.500 0.000  0.05

It is i that is the most stable of them.

i | DFT (GGA-PBE) results for a relaxed TlInCu2 crystal.

M_tot	0.000	μB per cell

a = 4.879 Å, b = 4.879 Å, c = 3.178 Å
α = 90.00°, β = 90.00°, γ = 96.51°
Element x y z (fractional)
In: 0.500 0.000 0.500
Cu: 0.500 0.500 0.000
Cu: 0.000 0.000 0.000
Tl: 0.000 0.500 0.500

ii | DFT (GGA-PBE) results for a relaxed TlInCu2 crystal.

M_tot	0.000	μB per cell

a = 6.322 Å, b = 6.322 Å, c = 6.322 Å
α = 150.88°, β = 139.68°, γ = 50.50°
Element x y z (fractional)
Cu: 0.984 0.984 0.000
In: 0.487 0.487 0.000
Tl: 0.215 0.715 0.500
Cu: 0.813 0.313 0.500

iii | DFT (GGA-PBE) results for a relaxed TlInCu2 crystal.

M_tot	0.000	μB per cell

a = 4.902 Å, b = 4.902 Å, c = 6.623 Å
α = 56.81°, β = 56.81°, γ = 43.28°
Element x y z (fractional)
Cu: 0.987 0.987 0.886
Cu: 0.513 0.513 0.614
In: 0.750 0.750 0.750
Tl: 0.250 0.250 0.250

iv | DFT (GGA-PBE) results for a relaxed TlInCu2 crystal.

M_tot	0.000	μB per cell

a = 3.209 Å, b = 3.373 Å, c = 7.307 Å
α = 90.00°, β = 90.00°, γ = 90.00°
Element x y z (fractional)
Tl: 0.500 0.500 0.799
Cu: 0.500 0.500 0.202
In: 0.000 0.000 0.437
Cu: 0.000 0.000 0.062

It is iv that is the most stable of them.

i | DFT (GGA-PBE) results for a relaxed Tm3InCu crystal.

M_tot	0.000	μB per cell

a = 5.939 Å, b = 5.939 Å, c = 8.714 Å
α = 68.21°, β = 68.21°, γ = 68.10°
Element x y z (fractional)
Cu: 0.303 0.697 0.500
Tm: 0.298 0.298 0.819
In: 0.714 0.286 0.000
Cu: 0.697 0.303 0.500
In: 0.286 0.714 0.000
Tm: 0.702 0.702 0.181
Tm: 0.970 0.970 0.732
Tm: 0.030 0.030 0.268
Tm: 0.313 0.313 0.385
Tm: 0.687 0.687 0.615

ii | DFT (GGA-PBE) results for a relaxed Tm3InCu crystal.

M_tot	0.000	μB per cell

a = 5.035 Å, b = 6.293 Å, c = 8.787 Å
α = 118.51°, β = 90.00°, γ = 90.00°
Element x y z (fractional)
Tm: 0.750 0.318 0.992
Tm: 0.250 0.682 0.008
Tm: 0.750 0.659 0.438
Tm: 0.250 0.341 0.562
In: 0.250 0.310 0.194
Tm: 0.750 0.024 0.259
Tm: 0.250 0.976 0.741
Cu: 0.750 0.168 0.632
Cu: 0.250 0.832 0.368
In: 0.750 0.690 0.806

It is ii that is the most stable of them.

i | DFT (GGA-PBE) results for a relaxed TmIn3Cu8 crystal.

M_tot	0.000	μB per cell

a = 5.064 Å, b = 5.064 Å, c = 8.393 Å
α = 90.00°, β = 90.00°, γ = 120.00°
Element x y z (fractional)
Cu: 0.333 0.667 0.495
Cu: 0.333 0.667 0.000
Cu: 0.999 0.499 0.752
Cu: 0.501 0.499 0.752
Cu: 0.165 0.330 0.248
In: 0.000 0.000 0.940
Cu: 0.501 0.001 0.752
Tm: 0.000 0.000 0.567
In: 0.667 0.333 0.435
In: 0.667 0.333 0.062
Cu: 0.165 0.835 0.248
Cu: 0.670 0.835 0.248

ii | DFT (GGA-PBE) results for a relaxed TmIn3Cu8 crystal.

M_tot	0.000	μB per cell

a = 5.057 Å, b = 5.057 Å, c = 8.876 Å
α = 73.45°, β = 73.45°, γ = 60.00°
Element x y z (fractional)
In: 0.376 0.376 0.873
Cu: 0.187 0.187 0.438
In: 0.999 0.999 0.002
Cu: 0.688 0.688 0.937
Cu: 0.438 0.438 0.185
Cu: 0.938 0.938 0.689
Cu: 0.438 0.939 0.185
In: 0.499 0.499 0.503
Cu: 0.938 0.436 0.689
Cu: 0.939 0.438 0.185
Tm: 0.875 0.875 0.375
Cu: 0.436 0.938 0.689

It is ii that is the most stable of them.

i | DFT (GGA-PBE) results for a relaxed VIn3Cu crystal.

M_tot	3.488	μB per cell

a = 5.270 Å, b = 5.270 Å, c = 5.270 Å
α = 90.00°, β = 90.00°, γ = 90.00°
Site moments in Bohr magnetons follow the coordinates.
Element x y z (fractional)
In: 0.500 0.000 0.000  0.08
Cu: 0.500 0.500 0.500  0.06
V: 0.000 0.000 0.000  2.58
In: 0.000 0.000 0.500  0.08
In: 0.000 0.500 0.000  0.08

ii | DFT (GGA-PBE) results for a relaxed VIn3Cu crystal.

M_tot	3.628	μB per cell

a = 4.985 Å, b = 4.985 Å, c = 4.985 Å
α = 90.00°, β = 90.00°, γ = 90.00°
Site moments in Bohr magnetons follow the coordinates.
Element x y z (fractional)
V: 0.500 0.500 0.500  2.98
Cu: 0.000 0.000 0.000  0.01
In: 0.000 0.000 0.500  -0.01
In: 0.500 0.000 0.000  -0.01
In: 0.000 0.500 0.000  -0.01

It is ii that is the most stable of them.

i | DFT (GGA-PBE) results for a relaxed In2CuW crystal.

M_tot	1.415	μB per cell

a = 4.713 Å, b = 4.713 Å, c = 4.713 Å
α = 60.00°, β = 60.00°, γ = 60.00°
Site moments in Bohr magnetons follow the coordinates.
Element x y z (fractional)
W: 0.750 0.750 0.750  1.09
In: 0.250 0.250 0.250  -0.01
In: 0.000 0.000 0.000  0.00
Cu: 0.500 0.500 0.500  0.06

ii | DFT (GGA-PBE) results for a relaxed In2CuW crystal.

M_tot	0.002	μB per cell

a = 5.425 Å, b = 5.425 Å, c = 5.425 Å
α = 137.40°, β = 137.40°, γ = 61.82°
Element x y z (fractional)
Cu: 0.750 0.250 0.500
W: 0.500 0.500 0.000
In: 0.250 0.750 0.500
In: 0.000 0.000 0.000

It is ii that is the most stable of them.

i | DFT (GGA-PBE) results for a relaxed In2CuW crystal.

M_tot	1.147	μB per cell

a = 4.708 Å, b = 4.708 Å, c = 4.708 Å
α = 60.00°, β = 60.00°, γ = 60.00°
Site moments in Bohr magnetons follow the coordinates.
Element x y z (fractional)
Cu: 0.000 0.000 0.000  0.03
W: 0.500 0.500 0.500  0.91
In: 0.250 0.250 0.250  -0.01
In: 0.750 0.750 0.750  -0.01

ii | DFT (GGA-PBE) results for a relaxed In2CuW crystal.

M_tot	0.004	μB per cell

a = 5.244 Å, b = 5.244 Å, c = 5.244 Å
α = 134.71°, β = 134.71°, γ = 65.98°
Element x y z (fractional)
In: 0.000 0.000 0.000
W: 0.250 0.750 0.500
Cu: 0.750 0.250 0.500
In: 0.500 0.500 0.000

It is ii that is the most stable of them.

i | DFT (GGA-PBE) results for a relaxed In2CuW crystal.

M_tot	0.000	μB per cell

a = 5.542 Å, b = 5.542 Å, c = 5.542 Å
α = 148.39°, β = 125.40°, γ = 64.47°
Element x y z (fractional)
In: 0.482 0.482 0.000
W: 0.750 0.250 0.500
Cu: 0.250 0.750 0.500
In: 0.018 0.018 0.000

ii | DFT (GGA-PBE) results for a relaxed In2CuW crystal.

M_tot	0.000	μB per cell

a = 4.973 Å, b = 4.973 Å, c = 5.374 Å
α = 77.53°, β = 77.53°, γ = 34.16°
Element x y z (fractional)
Cu: 0.250 0.250 0.250
W: 0.750 0.750 0.750
In: 0.508 0.508 0.496
In: 0.992 0.992 0.004

iii | DFT (GGA-PBE) results for a relaxed In2CuW crystal.

M_tot	0.000	μB per cell

a = 4.444 Å, b = 2.888 Å, c = 5.745 Å
α = 85.57°, β = 90.00°, γ = 90.00°
Element x y z (fractional)
W: 0.500 0.250 0.250
In: 0.000 0.809 0.003
In: 0.000 0.691 0.497
Cu: 0.500 0.750 0.750

It is iii that is the most stable of them.

i | DFT (GGA-PBE) results for a relaxed In2CuW crystal.

M_tot	0.000	μB per cell

a = 4.828 Å, b = 2.945 Å, c = 5.122 Å
α = 90.00°, β = 90.00°, γ = 90.00°
Element x y z (fractional)
In: 0.500 0.125 0.328
Cu: 0.500 0.625 0.786
In: 0.000 0.125 0.935
W: 0.000 0.625 0.452

ii | DFT (GGA-PBE) results for a relaxed In2CuW crystal.

M_tot	0.000	μB per cell

a = 5.807 Å, b = 5.807 Å, c = 5.807 Å
α = 149.71°, β = 131.71°, γ = 58.07°
Element x y z (fractional)
W: 0.478 0.478 0.000
Cu: 0.266 0.766 0.500
In: 0.018 0.018 0.000
In: 0.738 0.238 0.500

It is i that is the most stable of them.